[1]
{"formula": "NiAsW2F", "functional": "PBE with a Hubbard U", "state": "relaxed", "lattice": [[4.1793, 0.0000, 0.0000], [0.0000, 4.1793, 0.0000], [0.0000, 0.0000, 4.8288]], "species": ["Ni", "As", "W", "W", "F"], "fractional_positions": [[0.0000, 0.0000, 0.0000], [0.5000, 0.5000, 0.0000], [0.0000, 0.5000, 0.5000], [0.5000, 0.0000, 0.5000], [0.5000, 0.5000, 0.5000]], "dft_energy_ev_per_cell": -17.08, "space_group": "P4/mmm, No. 123", "magmom_total_mub_per_cell": 2.9}

=====

[2]
{"formula": "ZnNiAs2F", "functional": "PBE with a Hubbard U", "state": "relaxed", "lattice": [[4.6990, 0.0000, 0.0000], [0.0000, 4.6990, 0.0000], [0.0000, 0.0000, 4.6757]], "species": ["Zn", "Ni", "As", "As", "F"], "fractional_positions": [[0.0000, 0.0000, 0.0000], [0.0000, 0.0000, 0.5000], [0.0000, 0.5000, 0.0000], [0.5000, 0.0000, 0.0000], [0.5000, 0.5000, 0.5000]], "dft_energy_ev_per_cell": -12.21, "space_group": "P4/mmm, No. 123", "magmom_total_mub_per_cell": 0.6}

=====

[3]
{"formula": "ZrNiAs2F", "functional": "PBE with a Hubbard U", "state": "relaxed", "lattice": [[4.7123, 0.0000, 0.0000], [0.0000, 4.7123, 0.0000], [0.0000, 0.0000, 3.7912]], "species": ["Zr", "Ni", "As", "As", "F"], "fractional_positions": [[0.0000, 0.0000, 0.0000], [0.5000, 0.5000, 0.0000], [0.0000, 0.5000, 0.5000], [0.5000, 0.0000, 0.5000], [0.5000, 0.5000, 0.5000]], "dft_energy_ev_per_cell": -23.71, "space_group": "P4/mmm, No. 123", "magmom_total_mub_per_cell": 0.8}

=====

no.,N(E_F) (states/eV per cell)
1,2.3
2,3.9
3,1.9